SbBr3: optimized geometry, GGA-PBEsol.

POSCAR file:
```
SbBr3
1.0
4.6785 0.0000 0.0000
0.0000 4.6785 0.0000
0.0000 0.0000 4.4455
Sb Br
1 3
Direct
0.0000 0.0000 0.0000
0.0000 0.5000 0.5000
0.5000 0.0000 0.5000
0.5000 0.5000 0.0000
```

- formation energy without anion corrections (eV/atom) = 0.120
- ρ (Mg/m³) = 6.2
- E_tot (eV/atom) = -2.42
- symmetry = P4/mmm